No. 1
Compound: Rb2NaPuI5
Source: the Alexandria database
Functional: PBE-GGA
Structure: relaxed

The uncorrected energy comes out at -4.078 eV/atom. The calculation puts the density of states at the Fermi level at 77.50 states/eV per cell.

The structure belongs to space group Cmc2_1 (No. 36); the cell edges are 4.832, 20.936 and 16.369 Å and the angles 90.00°, 90.00° and 90.00°. The asymmetric unit holds Rb at (0.000, 0.093, 0.000), Rb at (0.000, 0.133, 0.639), Na at (0.000, 0.456, 0.787), Pu at (0.000, 0.220, 0.361), I at (0.000, 0.068, 0.397), I at (0.000, 0.269, 0.995), I at (0.000, 0.301, 0.731), I at (0.000, 0.372, 0.329) and I at (0.000, 0.498, 0.113).

No. 2
Compound: Rb2NaPuI6
Source: the Alexandria database
Functional: PBE-GGA
Structure: relaxed

The uncorrected energy comes out at -3.978 eV/atom. The calculation puts the density of states at the Fermi level at 23.36 states/eV per cell.

The structure belongs to space group P2_1/c (No. 14); the cell edges are 8.403, 8.952 and 14.774 Å and the angles 90.00°, 124.44° and 90.00°. The asymmetric unit holds Rb at (0.222, 0.079, 0.250), Na at (0.000, 0.000, 0.500), Pu at (0.500, 0.000, 0.000), I at (0.151, 0.193, 0.950), I at (0.269, 0.705, 0.954) and I at (0.350, 0.021, 0.754).

No. 3
Compound: RbNaPuI6
Source: the Alexandria database
Functional: PBE-GGA
Structure: relaxed

The uncorrected energy comes out at -3.971 eV/atom. The calculation puts the density of states at the Fermi level at 20.14 states/eV per cell.

The structure belongs to space group P-31c (No. 163); the cell edges are 8.1328, 8.1328 and 15.9745 Å and the angles 90.00°, 90.00° and 120.00°. The asymmetric unit holds Rb at (0.0000, 0.0000, 0.0000), Na at (0.3333, 0.6667, 0.2500), Pu at (0.3333, 0.6667, 0.7500) and I at (0.0221, 0.3776, 0.6396).

No. 4
Compound: NaSmPuI6
Source: the Alexandria database
Functional: PBE-GGA
Structure: relaxed

The uncorrected energy comes out at -4.532 eV/atom. The calculation puts the density of states at the Fermi level at 39.91 states/eV per cell.

The structure belongs to space group P-31c (No. 163); the cell edges are 7.8741, 7.8741 and 14.7574 Å and the angles 90.00°, 90.00° and 120.00°. The asymmetric unit holds Na at (0.0000, 0.0000, 0.0000), Sm at (0.3333, 0.6667, 0.2500), Pu at (0.3333, 0.6667, 0.7500) and I at (0.0079, 0.3497, 0.1271).